Er5Ni2Te2: optimized geometry, PBE-GGA.

Cell: 7.6889 7.6889 14.8380 Å, 90.00 90.00 150.20°
Closest atoms and distances in Å follow each position.
Fractional positions:
Er (0.0399, 0.9601, 0.6250)  3 Ni 2.80-2.87
Er (0.0399, 0.9601, 0.8750)  3 Ni 2.80-2.87
Er (0.2593, 0.7407, 0.1287)  3 Ni 2.79-2.91, 1 Te 3.11
Er (0.2593, 0.7407, 0.3713)  3 Ni 2.79-2.91, 1 Te 3.11
Er (0.3935, 0.6065, 0.7500)  2 Ni 2.87-3.07, 2 Te 3.13
Er (0.6065, 0.3935, 0.2500)  2 Ni 2.87-3.07, 2 Te 3.13
Er (0.7407, 0.2593, 0.6287)  3 Ni 2.79-2.91, 1 Te 3.11
Er (0.7407, 0.2593, 0.8713)  3 Ni 2.79-2.91, 1 Te 3.11
Er (0.9601, 0.0399, 0.1250)  3 Ni 2.80-2.87
Er (0.9601, 0.0399, 0.3750)  3 Ni 2.80-2.87
Ni (0.1869, 0.8131, 0.7500)  2 Ni 2.48
Ni (0.4135, 0.5865, 0.2500)  2 Ni 2.48
Ni (0.5865, 0.4135, 0.7500)  2 Ni 2.48
Ni (0.8131, 0.1869, 0.2500)  2 Ni 2.48
Te (0.3847, 0.6153, 0.5393)  8 Er 3.11-3.33
Te (0.3847, 0.6153, 0.9607)  8 Er 3.11-3.33
Te (0.6153, 0.3847, 0.0393)  8 Er 3.11-3.33
Te (0.6153, 0.3847, 0.4607)  8 Er 3.11-3.33

Output
VASP energy: -95.2 eV per cell